<A>
OsPdN2: relaxed, PBE.

a b c (Å): 3.8683 3.8683 3.8683
angles (deg): 60.00 60.00 60.00
Fractional positions:
Os 0.0000 0.0000 0.0000
Pd 0.5000 0.5000 0.5000
N 0.2500 0.2500 0.2500
N 0.7500 0.7500 0.7500

Calculated values
Fermi-level density of states (states/eV per cell): 3.9

<B>
OsPdN2: relaxed, PBE.

a b c (Å): 6.7122 6.7122 6.7122
angles (deg): 24.67 24.67 24.67
Fractional positions:
Os 0.0000 0.0000 0.0000
Pd 0.5000 0.5000 0.5000
N 0.3973 0.3973 0.3973
N 0.6027 0.6027 0.6027

Calculated values
Fermi-level density of states (states/eV per cell): 3.4

We find <B> to be the most stable, with the next structure 1004 meV per atom higher.

<A>
OsPd3N: relaxed, PBE.

a b c (Å): 4.1303 4.1303 4.1303
angles (deg): 90.00 90.00 90.00
Fractional positions:
Os 0.0000 0.0000 0.0000
Pd 0.0000 0.5000 0.5000
Pd 0.5000 0.0000 0.5000
Pd 0.5000 0.5000 0.0000
N 0.5000 0.5000 0.5000

Calculated values
Fermi-level density of states (states/eV per cell): 6.9

<B>
OsPd3N: relaxed, PBE.

a b c (Å): 4.7788 4.7788 4.7788
angles (deg): 90.00 90.00 90.00
Fractional positions:
Os 0.0000 0.0000 0.0000
Pd 0.0000 0.0000 0.5000
Pd 0.0000 0.5000 0.0000
Pd 0.5000 0.0000 0.0000
N 0.5000 0.5000 0.5000

Calculated values
Fermi-level density of states (states/eV per cell): 11.5

We find <A> to be the most stable, with the next structure 1577 meV per atom higher.

<A>
OsPdSeN2: relaxed, PBE.

a b c (Å): 3.7097 3.7097 7.1908
angles (deg): 90.00 90.00 90.00
Fractional positions:
Os 0.0000 0.0000 0.0000
Pd 0.5000 0.5000 0.5000
Se 0.5000 0.5000 0.0000
N 0.0000 0.5000 0.5000
N 0.5000 0.0000 0.5000

Calculated values
Fermi-level density of states (states/eV per cell): 4.9

<B>
OsPdSeN2: relaxed, PBE.

a b c (Å): 3.7481 3.7481 5.6406
angles (deg): 90.00 90.00 90.00
Fractional positions:
Os 0.0000 0.0000 0.0000
Pd 0.5000 0.5000 0.5000
Se 0.0000 0.0000 0.5000
N 0.0000 0.5000 0.0000
N 0.5000 0.0000 0.0000

Calculated values
Fermi-level density of states (states/eV per cell): 4.8

We find <B> to be the most stable, with the next structure 1441 meV per atom higher.

<A>
OsPdSe2N: relaxed, PBE.

a b c (Å): 5.0545 5.0545 3.6429
angles (deg): 90.00 90.00 90.00
Fractional positions:
Os 0.0000 0.0000 0.0000
Pd 0.5000 0.5000 0.5000
Se 0.0000 0.5000 0.0000
Se 0.5000 0.0000 0.0000
N 0.0000 0.0000 0.5000

Calculated values
Fermi-level density of states (states/eV per cell): 4.3

<B>
OsPdSe2N: relaxed, PBE.

a b c (Å): 5.0226 5.0226 3.5818
angles (deg): 90.00 90.00 90.00
Fractional positions:
Os 0.0000 0.0000 0.0000
Pd 0.5000 0.5000 0.5000
Se 0.0000 0.5000 0.5000
Se 0.5000 0.0000 0.5000
N 0.5000 0.5000 0.0000

Calculated values
Fermi-level density of states (states/eV per cell): 5.3

We find <A> to be the most stable, with the next structure 964 meV per atom higher.

<A>
TeOsPdN2: relaxed, PBE.

a b c (Å): 3.7909 3.7909 5.9411
angles (deg): 90.00 90.00 90.00
Fractional positions:
Te 0.0000 0.0000 0.0000
Os 0.0000 0.0000 0.5000
Pd 0.5000 0.5000 0.0000
N 0.0000 0.5000 0.5000
N 0.5000 0.0000 0.5000

Calculated values
Fermi-level density of states (states/eV per cell): 2.6

<B>
TeOsPdN2: relaxed, PBE.

a b c (Å): 3.8011 3.8011 6.7847
angles (deg): 90.00 90.00 90.00
Fractional positions:
Te 0.0000 0.0000 0.0000
Os 0.5000 0.5000 0.0000
Pd 0.0000 0.0000 0.5000
N 0.0000 0.5000 0.5000
N 0.5000 0.0000 0.5000

Calculated values
Fermi-level density of states (states/eV per cell): 4.6

We find <A> to be the most stable, with the next structure 1456 meV per atom higher.

<A>
Os2Pt2N: relaxed, PBE.

a b c (Å): 5.3938 5.3938 4.8799
angles (deg): 90.00 90.00 90.00
Fractional positions:
Os 0.1744 0.3256 0.0000
Os 0.3256 0.8256 0.0000
Os 0.6744 0.1744 0.0000
Os 0.8256 0.6744 0.0000
Pt 0.1787 0.6787 0.5000
Pt 0.3213 0.1787 0.5000
Pt 0.6787 0.8213 0.5000
Pt 0.8213 0.3213 0.5000
N 0.0000 0.0000 0.0000
N 0.5000 0.5000 0.0000

Calculated values
Fermi-level density of states (states/eV per cell): 13.6

<B>
Os2Pt2N: relaxed, PBE.

a b c (Å): 6.7479 6.7479 6.7479
angles (deg): 149.18 149.18 44.15
Fractional positions:
Os 0.0938 0.0938 0.0000
Os 0.9062 0.9062 0.0000
Pt 0.2500 0.7500 0.5000
Pt 0.7500 0.2500 0.5000
N 0.5000 0.5000 0.0000

Calculated values
Fermi-level density of states (states/eV per cell): 5.3

We find <A> to be the most stable, with the next structure 1057 meV per atom higher.

<A>
Os3PtN: relaxed, PBE.

a b c (Å): 4.8094 4.8094 4.8094
angles (deg): 90.00 90.00 90.00
Fractional positions:
Os 0.0000 0.0000 0.5000
Os 0.0000 0.5000 0.0000
Os 0.5000 0.0000 0.0000
Pt 0.0000 0.0000 0.0000
N 0.5000 0.5000 0.5000

Calculated values
Fermi-level density of states (states/eV per cell): 11.4

<B>
Os3PtN: relaxed, PBE.

a b c (Å): 4.0548 4.0548 4.0548
angles (deg): 90.00 90.00 90.00
Fractional positions:
Os 0.0000 0.0000 0.5000
Os 0.0000 0.5000 0.0000
Os 0.5000 0.0000 0.0000
Pt 0.5000 0.5000 0.5000
N 0.0000 0.0000 0.0000

Calculated values
Fermi-level density of states (states/eV per cell): 5.4

We find <B> to be the most stable, with the next structure 3192 meV per atom higher.

<A>
OsPtS2N: relaxed, PBE.

a b c (Å): 4.7516 4.7516 3.6361
angles (deg): 90.00 90.00 90.00
Fractional positions:
Os 0.0000 0.0000 0.0000
Pt 0.5000 0.5000 0.5000
S 0.0000 0.5000 0.0000
S 0.5000 0.0000 0.0000
N 0.0000 0.0000 0.5000

Calculated values
Fermi-level density of states (states/eV per cell): 3.0

<B>
OsPtS2N: relaxed, PBE.

a b c (Å): 4.8374 4.8374 3.5758
angles (deg): 90.00 90.00 90.00
Fractional positions:
Os 0.0000 0.0000 0.0000
Pt 0.5000 0.5000 0.5000
S 0.0000 0.5000 0.5000
S 0.5000 0.0000 0.5000
N 0.5000 0.5000 0.0000

Calculated values
Fermi-level density of states (states/eV per cell): 4.2

We find <A> to be the most stable, with the next structure 736 meV per atom higher.

<A>
OsPtSeN2: relaxed, PBE.

a b c (Å): 3.6836 3.6836 8.1374
angles (deg): 90.00 90.00 90.00
Fractional positions:
Os 0.0000 0.0000 0.0000
Pt 0.5000 0.5000 0.5000
Se 0.5000 0.5000 0.0000
N 0.0000 0.5000 0.5000
N 0.5000 0.0000 0.5000

Calculated values
Fermi-level density of states (states/eV per cell): 4.2

<B>
OsPtSeN2: relaxed, PBE.

a b c (Å): 3.7330 3.7330 5.7444
angles (deg): 90.00 90.00 90.00
Fractional positions:
Os 0.0000 0.0000 0.0000
Pt 0.5000 0.5000 0.5000
Se 0.0000 0.0000 0.5000
N 0.0000 0.5000 0.0000
N 0.5000 0.0000 0.0000

Calculated values
Fermi-level density of states (states/eV per cell): 3.9

We find <B> to be the most stable, with the next structure 957 meV per atom higher.

<A>
RbOsS2N: relaxed, PBE.

a b c (Å): 5.0299 5.0299 3.7735
angles (deg): 90.00 90.00 90.00
Fractional positions:
Rb 0.0000 0.0000 0.0000
Os 0.5000 0.5000 0.5000
S 0.0000 0.5000 0.5000
S 0.5000 0.0000 0.5000
N 0.5000 0.5000 0.0000

Calculated values
Fermi-level density of states (states/eV per cell): 3.9

<B>
RbOsS2N: relaxed, PBE.

a b c (Å): 5.3873 5.3873 4.2783
angles (deg): 90.00 90.00 90.00
Fractional positions:
Rb 0.0000 0.0000 0.0000
Os 0.5000 0.5000 0.5000
S 0.0000 0.5000 0.0000
S 0.5000 0.0000 0.0000
N 0.0000 0.0000 0.5000

Calculated values
Fermi-level density of states (states/eV per cell): 8.7

We find <A> to be the most stable, with the next structure 3051 meV per atom higher.

<A>
RbOsSe2N: relaxed, PBE.

a b c (Å): 5.7333 5.7333 4.4281
angles (deg): 90.00 90.00 90.00
Fractional positions:
Rb 0.0000 0.0000 0.0000
Os 0.5000 0.5000 0.5000
Se 0.0000 0.5000 0.0000
Se 0.5000 0.0000 0.0000
N 0.0000 0.0000 0.5000

Calculated values
Fermi-level density of states (states/eV per cell): 6.6

<B>
RbOsSe2N: relaxed, PBE.

a b c (Å): 5.3775 5.3775 3.7387
angles (deg): 90.00 90.00 90.00
Fractional positions:
Rb 0.0000 0.0000 0.0000
Os 0.5000 0.5000 0.5000
Se 0.0000 0.5000 0.5000
Se 0.5000 0.0000 0.5000
N 0.5000 0.5000 0.0000

Calculated values
Fermi-level density of states (states/eV per cell): 3.3

We find <B> to be the most stable, with the next structure 2752 meV per atom higher.

<A>
ReOsN2: relaxed, PBE.

a b c (Å): 6.8456 6.8456 6.8456
angles (deg): 23.40 23.40 23.40
Fractional positions:
Re 0.0000 0.0000 0.0000
Os 0.5000 0.5000 0.5000
N 0.4014 0.4014 0.4014
N 0.5986 0.5986 0.5986

Calculated values
Fermi-level density of states (states/eV per cell): 3.4

<B>
ReOsN2: relaxed, PBE.

a b c (Å): 5.4390 5.4390 5.4390
angles (deg): 127.86 127.86 76.86
Fractional positions:
Re 0.0000 0.0000 0.0000
Re 0.7500 0.2500 0.5000
Os 0.2500 0.7500 0.5000
Os 0.5000 0.5000 0.0000
N 0.1222 0.6250 0.9972
N 0.3750 0.3722 0.4972
N 0.6278 0.1250 0.0028
N 0.8750 0.8778 0.5028

Calculated values
Fermi-level density of states (states/eV per cell): 6.5

We find <A> to be the most stable, with the next structure 243 meV per atom higher.

<A>
ReOsSN2: relaxed, PBE.

a b c (Å): 3.7891 3.7891 5.1403
angles (deg): 90.00 90.00 90.00
Fractional positions:
Re 0.0000 0.0000 0.0000
Os 0.5000 0.5000 0.5000
S 0.0000 0.0000 0.5000
N 0.0000 0.5000 0.0000
N 0.5000 0.0000 0.0000

Calculated values
Fermi-level density of states (states/eV per cell): 5.5

<B>
ReOsSN2: relaxed, PBE.

a b c (Å): 3.7602 3.7602 5.2536
angles (deg): 90.00 90.00 90.00
Fractional positions:
Re 0.0000 0.0000 0.0000
Os 0.5000 0.5000 0.5000
S 0.5000 0.5000 0.0000
N 0.0000 0.5000 0.5000
N 0.5000 0.0000 0.5000

Calculated values
Fermi-level density of states (states/eV per cell): 3.5

We find <A> to be the most stable, with the next structure 62 meV per atom higher.

<A>
OsRh2N2: relaxed, PBE.

a b c (Å): 4.7902 4.7902 4.7902
angles (deg): 128.06 128.06 76.53
Fractional positions:
Os 0.0000 0.0000 0.0000
Rh 0.2500 0.7500 0.5000
Rh 0.7500 0.2500 0.5000
N 0.2575 0.2575 0.0000
N 0.7425 0.7425 0.0000

Calculated values
Fermi-level density of states (states/eV per cell): 3.9

<B>
OsRh2N2: relaxed, PBE.

a b c (Å): 5.4821 5.4821 4.0188
angles (deg): 90.00 90.00 90.00
Fractional positions:
Os 0.0000 0.0000 0.0000
Os 0.5000 0.5000 0.0000
Rh 0.1808 0.3192 0.5000
Rh 0.3192 0.8192 0.5000
Rh 0.6808 0.1808 0.5000
Rh 0.8192 0.6808 0.5000
N 0.1864 0.3136 0.0000
N 0.3136 0.8136 0.0000
N 0.6864 0.1864 0.0000
N 0.8136 0.6864 0.0000

Calculated values
Fermi-level density of states (states/eV per cell): 12.3

We find <B> to be the most stable, with the next structure 420 meV per atom higher.